VASP calculation (PBE) on FeHg2Br after structural relaxation.

Results
ΔE to the lowest computed polymorph, eV/f.u.: 1.61

Lattice parameters (Å, degrees): 5.4943 5.4943 5.4943 131.22 131.22 71.47
Last column: nearest neighbours and their distance in Å.
Positions (direct):
1 Fe 0.0000 0.0000 0.0000  8 Hg 3.18-3.21, 4 Br 3.18
2 Hg 0.2500 0.7500 0.5000  4 Hg 3.18, 4 Fe 3.18, 4 Br 3.21
3 Hg 0.5000 0.5000 0.0000  4 Hg 3.18, 4 Br 3.18, 4 Fe 3.21
4 Br 0.7500 0.2500 0.5000  8 Hg 3.18-3.21, 4 Fe 3.18